This record from Alexandria via LeMat-Bulk describes a relaxed Cs3TlOs2O8 crystal. The functional is GGA-PBE.

```
Cs3TlOs2O8
1.0
6.623 0.000 0.000
-3.312 5.736 0.000
0.000 0.000 8.644
Cs Tl Os O
3 1 2 8
Direct
0.000 0.000 0.000
0.333 0.667 0.664
0.667 0.333 0.336
0.000 0.000 0.500
0.333 0.667 0.209
0.667 0.333 0.791
0.186 0.373 0.290
0.186 0.814 0.290
0.333 0.667 0.002
0.373 0.186 0.710
0.627 0.814 0.290
0.667 0.333 0.998
0.814 0.186 0.710
0.814 0.627 0.710
```

## Properties
Formation energy without anion corrections: -1238 meV/atom
Symmetry: P-3m1 (164)